1.
First-principles (PBE-GGA) data for a relaxed PrTmHgRu crystal, as listed in the Alexandria database.

Properties
Total magnetization ... 0.00 μB per cell
Symmetry ... P4mm, No. 99
Excess energy over the best structure of this formula in the dataset ... 0.00 kJ/mol of atoms
Formation enthalpy at 0 K ... -403 meV/atom

abc: 3.5143 3.5143 7.6580
angles: 90.00 90.00 90.00
Last column: nearest neighbours and their distance in Å.
Atoms (fractional coordinates):
1 Ru 0.0000 0.0000 0.5520  4 Tm 2.93, 4 Pr 3.08
2 Pr 0.5000 0.5000 0.7903  4 Ru 3.08, 1 Tm 3.38, 4 Hg 3.40
3 Tm 0.5000 0.5000 0.3495  4 Ru 2.93, 4 Hg 3.17
4 Hg 0.0000 0.0000 0.0930  4 Tm 3.17, 4 Pr 3.40, 4 Hg 3.51, 1 Ru 3.51

2.
First-principles (PBE-GGA) data for a relaxed PrYHgRu crystal, as listed in the Alexandria database.

Properties
Total magnetization ... 0.00 μB per cell
Symmetry ... F-43m, No. 216
Excess energy over the best structure of this formula in the dataset ... 9.71 kJ/mol of atoms
Formation enthalpy at 0 K ... -272 meV/atom

abc: 5.1396 5.1396 5.1396
angles: 60.00 60.00 60.00
Last column: nearest neighbours and their distance in Å.
Atoms (fractional coordinates):
1 Hg 0.2500 0.2500 0.2500  4 Y 3.15, 4 Pr 3.15
2 Y 0.5000 0.5000 0.5000  4 Ru 3.15, 4 Hg 3.15
3 Ru 0.7500 0.7500 0.7500  4 Y 3.15, 4 Pr 3.15
4 Pr 0.0000 0.0000 0.0000  4 Hg 3.15, 4 Ru 3.15

3.
First-principles (PBE-GGA) data for a relaxed PrYHgRu crystal, as listed in the Alexandria database.

Properties
Total magnetization ... 0.00 μB per cell
Symmetry ... P4mm, No. 99
Excess energy over the best structure of this formula in the dataset ... 0.00 kJ/mol of atoms
Formation enthalpy at 0 K ... -373 meV/atom

abc: 3.5497 3.5497 7.6876
angles: 90.00 90.00 90.00
Last column: nearest neighbours and their distance in Å.
Atoms (fractional coordinates):
1 Ru 0.0000 0.0000 0.5586  4 Y 2.99, 4 Pr 3.08
2 Hg 0.0000 0.0000 0.0875  4 Y 3.21, 4 Pr 3.39, 4 Hg 3.55
3 Y 0.5000 0.5000 0.3484  4 Ru 2.99, 4 Hg 3.21
4 Pr 0.5000 0.5000 0.7902  4 Ru 3.08, 4 Hg 3.39, 1 Y 3.40

4.
First-principles (PBE-GGA) data for a relaxed PrHgS2 crystal, as listed in the Alexandria database.

Properties
Total magnetization ... 0.21 μB per cell
Symmetry ... R-3m, No. 166
E_form (uncorrected) ... -207.2 meV/atom

abc: 4.0356 4.0356 8.6126
angles: 76.45 76.45 60.00
Last column: nearest neighbours and their distance in Å.
Atoms (fractional coordinates):
1 S 0.1084 0.1084 0.6749  1 Pr 2.70, 3 Hg 2.74
2 S 0.8916 0.8916 0.3251  1 Pr 2.70, 3 Hg 2.74
3 Pr 0.0000 0.0000 0.0000  2 S 2.70
4 Hg 0.5000 0.5000 0.5000  6 S 2.74

5.
First-principles (PBE-GGA) data for a relaxed Pr2HgS4 crystal, as listed in the Alexandria database.

Properties
Total magnetization ... 0.00 μB per cell
Symmetry ... P2_1/m, No. 11
E_form (uncorrected) ... -1335.4 meV/atom

abc: 6.8583 7.0876 7.8406
angles: 90.00 106.75 90.00
Last column: nearest neighbours and their distance in Å.
Atoms (fractional coordinates):
1 S 0.5146 0.4890 0.2540  1 Hg 2.60
2 S 0.9932 0.2500 0.1285  1 Hg 2.51, 2 Pr 2.74-2.81
3 S 0.9875 0.2500 0.6139  1 Hg 2.49, 1 Pr 2.74
4 S 0.0125 0.7500 0.3861  1 Hg 2.49, 1 Pr 2.74
5 S 0.0068 0.7500 0.8715  1 Hg 2.51, 2 Pr 2.74-2.81
6 S 0.5146 0.0110 0.2540  1 Hg 2.60
7 S 0.4854 0.5110 0.7460  1 Hg 2.60
8 S 0.4854 0.9890 0.7460  1 Hg 2.60
9 Hg 0.7635 0.2500 0.8143  4 S 2.49-2.60
10 Hg 0.2365 0.7500 0.1857  4 S 2.49-2.60
11 Pr 0.7103 0.7500 0.5512  6 S 2.74-2.99
12 Pr 0.7096 0.7500 0.0549  6 S 2.81-2.99
13 Pr 0.2904 0.2500 0.9451  6 S 2.81-2.99
14 Pr 0.2897 0.2500 0.4488  6 S 2.74-2.99

6.
First-principles (PBE-GGA) data for a relaxed Pr3HgS2 crystal, as listed in the Alexandria database.

Properties
Total magnetization ... 0.00 μB per cell
Symmetry ... Cmcm, No. 63
E_form (uncorrected) ... -1232.2 meV/atom

abc: 4.7786 7.0834 10.5310
angles: 90.00 90.00 109.71
Last column: nearest neighbours and their distance in Å.
Atoms (fractional coordinates):
1 Pr 0.3672 0.7344 0.9449  3 S 2.80-3.03
2 Pr 0.6328 0.2656 0.0551  3 S 2.80-3.03
3 Pr 0.3672 0.7344 0.5551  3 S 2.80-3.03
4 Pr 0.6328 0.2656 0.4449  3 S 2.80-3.03
5 Pr 0.8970 0.7939 0.2500  4 S 2.69-2.97
6 Pr 0.1030 0.2061 0.7500  4 S 2.69-2.97
7 S 0.0000 0.0000 0.5000  6 Pr 2.97-3.03
8 S 0.4897 0.9794 0.2500  4 Pr 2.69-2.80
9 S 0.0000 0.0000 0.0000  6 Pr 2.97-3.03
10 S 0.5103 0.0206 0.7500  4 Pr 2.69-2.80
11 Hg 0.2292 0.4583 0.2500  6 Pr 3.27-3.40, 1 S 3.47
12 Hg 0.7708 0.5417 0.7500  6 Pr 3.27-3.40, 1 S 3.47

Q: Which formula does entry 2 have?
A: PrYHgRu